Ba3Mn2RuO9 after structural relaxation, computed with PBE with a Hubbard U.

```
15
Lattice="2.9184 1.6850 7.3045 -2.9184 1.6850 7.3045 0.0000 -3.3699 7.3045" Properties=species:S:1:pos:R:3 pbc="T T T"
Ba 0.0000 0.0000 0.0000
Ba 0.0000 0.0000 4.6162
Ba 0.0000 0.0000 17.0977
Mn 0.0000 0.0000 8.2461
Mn 0.0000 0.0000 10.7922
Ru 0.0000 0.0000 13.4233
O -1.3070 -0.7546 12.0562
O 0.0000 -1.5203 9.6072
O -1.3166 0.7602 9.6072
O 0.0000 -1.6696 14.4284
O -1.4459 0.8348 14.4284
O 1.3070 -0.7546 12.0562
O 0.0000 1.5091 12.0562
O 1.3166 0.7602 9.6072
O 1.4459 0.8348 14.4284
```

Output
- final energy (eV/atom) = -6.898